1.
First-principles (PBE) data for a geometry-optimized Nd2TlO structure, as listed in Alexandria.

Energy above the most stable polymorph in this dataset in meV per atom: 441
Formation energy without anion corrections in eV per formula unit: -4.45

Cell lengths 3.2300, 3.2300, 8.2090 Å; angles 90.00, 90.00, 90.00 degrees
Sites, in units of the cell vectors:
O1 0.5000 0.5000 0.0000
Nd1 0.0000 0.0000 0.8060
Nd2 0.0000 0.0000 0.1940
Tl1 0.5000 0.5000 0.5000


2.
First-principles (PBE) data for a geometry-optimized ThGe2PdPt2 structure, as listed in Alexandria.

Energy relative to the elements in kcal/mol of atoms: -18.8

Cell lengths 4.3935, 4.3935, 6.6832 Å; angles 90.00, 90.00, 120.00 degrees
Sites, in units of the cell vectors:
Ge1 0.6667 0.3333 0.6987
Ge2 0.3333 0.6667 0.3013
Pt1 0.3333 0.6667 0.7057
Pt2 0.6667 0.3333 0.2943
Pd1 0.0000 0.0000 0.5000
Th1 0.0000 0.0000 0.0000


3.
First-principles (PBE) data for a geometry-optimized CeMg2ZnPd2 structure, as listed in Alexandria.

Energy relative to the elements in kcal/mol of atoms: -5.8

Cell lengths 5.1698, 5.1698, 6.3916 Å; angles 113.85, 113.85, 90.00 degrees
Sites, in units of the cell vectors:
Pd1 0.7658 0.7658 0.5316
Pd2 0.2342 0.2342 0.4684
Mg1 0.7500 0.2500 0.5000
Mg2 0.2500 0.7500 0.5000
Ce1 0.5000 0.5000 0.0000
Zn1 0.0000 0.0000 0.0000


4.
First-principles (PBE) data for a geometry-optimized SrAs2 structure, as listed in Alexandria.

Energy relative to the elements in kcal/mol of atoms: -14.2

Cell lengths 6.1096, 6.1096, 6.7375 Å; angles 85.44, 85.44, 43.90 degrees
Sites, in units of the cell vectors:
As1 0.0762 0.0762 0.9400
As2 0.3472 0.3472 0.3284
As3 0.5640 0.5640 0.7658
As4 0.3462 0.3462 0.6847
Sr1 0.7969 0.7969 0.0104
Sr2 0.0362 0.0362 0.4373


5.
First-principles (PBE) data for a geometry-optimized PmSmSc3 structure, as listed in Alexandria.

Energy relative to the elements in kcal/mol of atoms: 1.9

Cell lengths 3.5093, 5.8112, 13.7847 Å; angles 90.00, 97.31, 90.00 degrees
Sites, in units of the cell vectors:
Pm1 0.6490 0.9926 0.2981
Pm2 0.3510 0.4926 0.7019
Sc1 0.7499 0.6458 0.4999
Sc2 0.9526 0.3319 0.9052
Sc3 0.0474 0.8319 0.0948
Sc4 0.2501 0.1458 0.5001
Sc5 0.5468 0.3317 0.0935
Sc6 0.4532 0.8317 0.9065
Sm1 0.8512 0.9922 0.7024
Sm2 0.1488 0.4922 0.2976


6.
First-principles (PBE) data for a geometry-optimized CeEr4S5 structure, as listed in Alexandria.

Formation energy without anion corrections in eV per formula unit: -19.73

Cell lengths 3.8806, 5.5156, 10.3330 Å; angles 105.48, 100.82, 90.00 degrees
Sites, in units of the cell vectors:
Er1 0.7999 0.7999 0.5999
Er2 0.4018 0.4018 0.8037
Er3 0.5982 0.5982 0.1963
Er4 0.2001 0.2001 0.4001
S1 0.3950 0.8950 0.7901
S2 0.8006 0.3006 0.6012
S3 0.0000 0.5000 0.0000
S4 0.6050 0.1050 0.2099
S5 0.1994 0.6994 0.3988
Ce1 0.0000 0.0000 0.0000


7.
First-principles (PBE) data for a geometry-optimized TmTeBr structure, as listed in Alexandria.

Formation energy without anion corrections in eV per formula unit: -4.45

Cell lengths 4.1129, 4.1129, 12.1289 Å; angles 99.76, 99.76, 90.00 degrees
Sites, in units of the cell vectors:
Tm1 0.9083 0.4083 0.8167
Tm2 0.5917 0.0917 0.1833
Br1 0.3238 0.3238 0.6475
Br2 0.6762 0.6762 0.3525
Te1 0.0460 0.5460 0.0919
Te2 0.4540 0.9540 0.9081


8.
First-principles (PBE) data for a geometry-optimized Ta2In2Rh structure, as listed in Alexandria.

Energy above the most stable polymorph in this dataset in meV per atom: 401
Energy relative to the elements in kcal/mol of atoms: 17.1

Cell lengths 3.7750, 3.7750, 7.7493 Å; angles 75.90, 75.90, 90.00 degrees
Sites, in units of the cell vectors:
In1 0.2500 0.7500 0.5000
In2 0.7500 0.2500 0.5000
Ta1 0.4136 0.4136 0.1729
Ta2 0.5864 0.5864 0.8271
Rh1 0.0000 0.0000 0.0000


9.
First-principles (PBE) data for a geometry-optimized Ag6BiF12 structure, as listed in Alexandria.

Formation energy without anion corrections in eV per formula unit: -26.10

Cell lengths 6.9546, 6.9545, 6.9546 Å; angles 100.60, 100.60, 100.60 degrees
Sites, in units of the cell vectors:
F1 0.3205 0.9771 0.0930
F2 0.3706 0.5892 0.8266
F3 0.0229 0.9070 0.6795
F4 0.8266 0.3706 0.5892
F5 0.6795 0.0229 0.9070
F6 0.1734 0.6294 0.4108
F7 0.5892 0.8266 0.3706
F8 0.6294 0.4108 0.1734
F9 0.9070 0.6795 0.0229
F10 0.0930 0.3205 0.9771
F11 0.9771 0.0930 0.3205
F12 0.4108 0.1734 0.6294
Ag1 0.3150 0.6081 0.1433
Ag2 0.6850 0.3919 0.8567
Ag3 0.6081 0.1433 0.3150
Ag4 0.3919 0.8567 0.6850
Ag5 0.8567 0.6850 0.3919
Ag6 0.1433 0.3150 0.6081
Bi1 0.0000 0.0000 0.0000


10.
First-principles (PBE) data for a geometry-optimized Zr3Si4Ni2 structure, as listed in Alexandria.

Energy above the most stable polymorph in this dataset in meV per atom: 422
Formation energy without anion corrections in eV per formula unit: -3.81

Cell lengths 7.4781, 7.4781, 5.9844 Å; angles 90.00, 90.00, 114.37 degrees
Sites, in units of the cell vectors:
Si1 0.3258 0.1742 0.7500
Si2 0.2916 0.7084 0.4409
Si3 0.2084 0.7916 0.9409
Si4 0.7084 0.2916 0.5591
Si5 0.6742 0.8258 0.2500
Si6 0.7916 0.2084 0.0591
Si7 0.1742 0.3258 0.2500
Si8 0.8258 0.6742 0.7500
Ni1 0.1341 0.8659 0.5987
Ni2 0.3659 0.6341 0.0987
Ni3 0.8659 0.1341 0.4013
Ni4 0.6341 0.3659 0.9013
Zr1 0.5905 0.9095 0.7500
Zr2 0.4095 0.0905 0.2500
Zr3 0.0905 0.4095 0.7500
Zr4 0.5000 0.5000 0.5000
Zr5 0.9095 0.5905 0.2500
Zr6 0.0000 0.0000 0.0000


11.
First-principles (PBE) data for a geometry-optimized Er3TlTe4O12 structure, as listed in Alexandria.

Formation energy without anion corrections in eV per formula unit: -34.27

Cell lengths 7.3174, 7.3174, 7.3174 Å; angles 103.78, 103.78, 103.78 degrees
Sites, in units of the cell vectors:
Er1 0.0000 0.5749 0.4251
Er2 0.5749 0.4251 0.0000
Er3 0.4251 0.0000 0.5749
O1 0.4004 0.0640 0.2907
O2 0.0757 0.9243 0.5000
O3 0.5996 0.7093 0.9360
O4 0.3220 0.6780 0.5000
O5 0.6780 0.5000 0.3220
O6 0.0640 0.2907 0.4004
O7 0.9243 0.5000 0.0757
O8 0.2907 0.4004 0.0640
O9 0.5000 0.3220 0.6780
O10 0.7093 0.9360 0.5996
O11 0.5000 0.0757 0.9243
O12 0.9360 0.5996 0.7093
Te1 0.9077 0.0923 0.5000
Te2 0.0923 0.5000 0.9077
Te3 0.5000 0.5000 0.5000
Te4 0.5000 0.9077 0.0923
Tl1 0.0000 0.0000 0.0000


12.
First-principles (PBE) data for a geometry-optimized CeBeGa structure, as listed in Alexandria.

Energy above the most stable polymorph in this dataset in meV per atom: 3
Energy relative to the elements in kcal/mol of atoms: -6.2

Cell lengths 4.0474, 4.0474, 16.6395 Å; angles 90.00, 90.00, 120.00 degrees
Sites, in units of the cell vectors:
Be1 0.3333 0.6667 0.8769
Be2 0.3333 0.6667 0.6231
Be3 0.6667 0.3333 0.1231
Be4 0.6667 0.3333 0.3769
Ga1 0.6667 0.3333 0.8749
Ga2 0.3333 0.6667 0.3749
Ga3 0.6667 0.3333 0.6251
Ga4 0.3333 0.6667 0.1251
Ce1 0.0000 0.0000 0.7500
Ce2 0.0000 0.0000 0.0000
Ce3 0.0000 0.0000 0.2500
Ce4 0.0000 0.0000 0.5000